[1]
First-principles (PBE-GGA) data for KIrAu after structural relaxation, as listed in Alexandria via LeMat-Bulk.

Summary:
Energy above the lowest structure with this stoichiometry: 0.038 eV per atom
ΔE_f: 0.144 eV per atom

Cell lengths 5.0582, 6.2805, 8.0014 Å; angles 90.00, 90.00, 90.00 degrees
Closest atoms and distances in Å follow each position.
Fractional positions:
1 K 0.0000 0.2500 0.6328  2 K 3.15, 6 Au 3.16-3.33, 6 Ir 3.31-3.51
2 K 0.0000 0.7500 0.3672  2 K 3.15, 6 Au 3.16-3.33, 6 Ir 3.31-3.51
3 K 0.5000 0.7500 0.1328  2 K 3.15, 6 Au 3.16-3.33, 6 Ir 3.31-3.51
4 K 0.5000 0.2500 0.8672  2 K 3.15, 6 Au 3.16-3.33, 6 Ir 3.31-3.51
5 Ir 0.2500 0.2500 0.2500  2 Ir 2.53
6 Ir 0.2500 0.7500 0.7500  2 Ir 2.53
7 Ir 0.7500 0.7500 0.7500  2 Ir 2.53
8 Ir 0.7500 0.2500 0.2500  2 Ir 2.53
9 Au 0.0000 0.0000 0.0000  4 Ir 2.84, 2 Au 3.14, 4 K 3.16
10 Au 0.0000 0.5000 0.0000  4 Ir 2.84, 2 Au 3.14, 4 K 3.16
11 Au 0.5000 0.5000 0.5000  4 Ir 2.84, 2 Au 3.14, 4 K 3.16
12 Au 0.5000 0.0000 0.5000  4 Ir 2.84, 2 Au 3.14, 4 K 3.16

=====

[2]
First-principles (PBE-GGA) data for Eu2SiBr after structural relaxation, as listed in Alexandria via LeMat-Bulk.

Summary:
Energy above the lowest structure with this stoichiometry: 0.037 eV per atom
E_form (uncorrected): -89 kJ per mole of atoms

Cell lengths 3.6354, 3.6354, 8.1843 Å; angles 90.00, 90.00, 90.00 degrees
Closest atoms and distances in Å follow each position.
Fractional positions:
1 Eu 0.0000 0.0000 0.7775  4 Si 3.15, 4 Br 3.43
2 Eu 0.0000 0.0000 0.2225  4 Si 3.15, 4 Br 3.43
3 Si 0.5000 0.5000 0.0000  8 Eu 3.15
4 Br 0.5000 0.5000 0.5000  8 Eu 3.43, 4 Br 3.64

=====

[3]
First-principles (PBE-GGA) data for Cs6CdAu2 after structural relaxation, as listed in Alexandria via LeMat-Bulk.

Summary:
ΔE_f: -0.147 eV per atom

Cell lengths 11.2688, 11.2688, 11.2688 Å; angles 106.43, 110.02, 112.01 degrees
Closest atoms and distances in Å follow each position.
Fractional positions:
1 Cs 0.4772 0.2997 0.1775  2 Au 3.72
2 Cs 0.5228 0.7003 0.8225  2 Au 3.72
3 Cs 0.8778 0.7003 0.1775  2 Au 3.72
4 Cs 0.1222 0.2997 0.8225  2 Au 3.72
5 Cs 0.2038 0.7787 0.9825  1 Au 3.78, 1 Cd 3.98
6 Cs 0.7962 0.2213 0.0175  1 Au 3.78, 1 Cd 3.98
7 Cs 0.7962 0.7787 0.5749  1 Au 3.78, 1 Cd 3.98
8 Cs 0.2038 0.2213 0.4251  1 Au 3.78, 1 Cd 3.98
9 Cs 0.3123 0.9845 0.6722  3 Au 3.64-3.78
10 Cs 0.6877 0.0155 0.3278  3 Au 3.64-3.78
11 Cs 0.6877 0.3599 0.6722  3 Au 3.64-3.78
12 Cs 0.3123 0.6401 0.3278  3 Au 3.64-3.78
13 Cd 0.0000 0.5000 0.5000  12 Cs 4.57-4.87
14 Cd 0.0000 0.0000 0.0000  8 Cs 3.98-4.42
15 Au 0.5000 0.3906 0.8906  1 Au 2.95
16 Au 0.5000 0.6094 0.1094  1 Au 2.95
17 Au 0.3828 0.0000 0.3828  1 Au 3.03
18 Au 0.6172 0.0000 0.6172  1 Au 3.03

=====

[4]
First-principles (PBE-GGA) data for NaCI3 after structural relaxation, as listed in Alexandria via LeMat-Bulk.

Summary:
Energy above the lowest structure with this stoichiometry: 0.950 eV per atom
E_form (uncorrected): 146 kJ per mole of atoms

Cell lengths 5.8433, 5.8433, 5.8433 Å; angles 90.00, 90.00, 90.00 degrees
Closest atoms and distances in Å follow each position.
Fractional positions:
1 I 0.0000 0.5000 0.0000  2 Na 2.92
2 I 0.0000 0.0000 0.5000  2 Na 2.92
3 I 0.5000 0.0000 0.0000  2 Na 2.92
4 Na 0.0000 0.0000 0.0000  6 I 2.92
5 C 0.5000 0.5000 0.5000  12 I 4.13

=====

[5]
First-principles (PBE-GGA) data for SrAc2BiO6 after structural relaxation, as listed in Alexandria via LeMat-Bulk.

Summary:
E_form (uncorrected): -231 kJ per mole of atoms

Cell lengths 5.8964, 5.7533, 5.7533 Å; angles 90.00, 90.00, 90.00 degrees
Closest atoms and distances in Å follow each position.
Fractional positions:
1 Sr 0.5498 0.5000 0.5000  5 O 2.41-2.42
2 Ac 0.9919 0.5000 0.0000  4 O 2.49
3 Ac 0.9919 0.0000 0.5000  4 O 2.49
4 Bi 0.5812 0.0000 0.0000  5 O 2.19-2.28
5 O 0.7491 0.2405 0.2405  1 Bi 2.19, 1 Sr 2.42
6 O 0.7491 0.2405 0.7595  1 Bi 2.19, 1 Sr 2.42
7 O 0.1415 0.5000 0.5000  1 Sr 2.41
8 O 0.1941 0.0000 0.0000  1 Bi 2.28
9 O 0.7491 0.7595 0.7595  1 Bi 2.19, 1 Sr 2.42
10 O 0.7491 0.7595 0.2405  1 Bi 2.19, 1 Sr 2.42

=====

[6]
First-principles (PBE-GGA) data for AlSe2Br after structural relaxation, as listed in Alexandria via LeMat-Bulk.

Summary:
Energy above the lowest structure with this stoichiometry: 0.995 eV per atom
E_form (uncorrected): 41 kJ per mole of atoms

Cell lengths 5.1232, 5.1232, 3.2515 Å; angles 90.00, 90.00, 90.00 degrees
Closest atoms and distances in Å follow each position.
Fractional positions:
1 Se 0.0000 0.0000 0.0000  4 Br 3.03, 4 Al 3.03, 2 Se 3.25
2 Se 0.5000 0.5000 0.0000  4 Br 3.03, 4 Al 3.03, 2 Se 3.25
3 Br 0.0000 0.5000 0.5000  8 Se 3.03, 2 Br 3.25
4 Al 0.5000 0.0000 0.5000  8 Se 3.03, 2 Al 3.25

=====

[7]
First-principles (PBE-GGA) data for AcNdSm2 after structural relaxation, as listed in Alexandria via LeMat-Bulk.

Summary:
Energy above the lowest structure with this stoichiometry: 0.103 eV per atom
ΔE_f: 0.134 eV per atom

Cell lengths 5.9297, 5.9297, 5.9297 Å; angles 60.00, 60.00, 60.00 degrees
Closest atoms and distances in Å follow each position.
Fractional positions:
1 Ac 0.0000 0.0000 0.0000  8 Sm 3.63
2 Nd 0.5000 0.5000 0.5000  8 Sm 3.63
3 Sm 0.2500 0.2500 0.2500  4 Ac 3.63, 4 Nd 3.63
4 Sm 0.7500 0.7500 0.7500  4 Nd 3.63, 4 Ac 3.63

=====

[8]
First-principles (PBE-GGA) data for HoTiAl2 after structural relaxation, as listed in Alexandria via LeMat-Bulk.

Summary:
Energy above the lowest structure with this stoichiometry: 0.084 eV per atom
ΔE_f: -0.231 eV per atom

Cell lengths 4.7910, 4.7910, 4.7910 Å; angles 60.00, 60.00, 60.00 degrees
Closest atoms and distances in Å follow each position.
Fractional positions:
1 Al 0.2500 0.2500 0.2500  4 Ho 2.93, 4 Ti 2.93
2 Al 0.7500 0.7500 0.7500  4 Ho 2.93, 4 Ti 2.93
3 Ho 0.0000 0.0000 0.0000  8 Al 2.93
4 Ti 0.5000 0.5000 0.5000  8 Al 2.93

=====

How do the records compare in DFT total energy? In the order shown, they have -4.2679, -7.8388, -1.5464, -1.5295, -6.7504, -2.6762, -4.4450, -5.2204 eV/atom.